# ZrNiRhAu (GGA-PBE, optimized geometry)
data_ZrNiRhAu
_chemical_formula_sum 'Zr1 Ni1 Rh1 Au1'
_symmetry_space_group_name_H-M 'P m m m'
_symmetry_Int_Tables_number 47
_cell_length_a 3.7767
_cell_length_b 3.9723
_cell_length_c 4.2142
_cell_angle_alpha 90.00
_cell_angle_beta 90.00
_cell_angle_gamma 90.00
loop_
_symmetry_equiv_pos_as_xyz
'x,y,z'
'-x,-y,-z'
'-x,-y,z'
'x,y,-z'
'x,-y,-z'
'-x,y,z'
'-x,y,-z'
'x,-y,z'
loop_
_atom_site_label
_atom_site_type_symbol
_atom_site_fract_x
_atom_site_fract_y
_atom_site_fract_z
_atom_site_occupancy
Zr1 Zr 0.0000 0.0000 0.0000 1
Ni1 Ni 0.5000 0.0000 0.5000 1
Rh1 Rh 0.5000 0.5000 0.0000 1
Au1 Au 0.0000 0.5000 0.5000 1
# total magnetic moment: 0.0 μB per formula unit
# crystal system: orthorhombic
# formation energy: -2.26 eV per formula unit
# final energy: -6.806 eV/atom